(1)
{
  "formula": "LiLa2YRu",
  "functional": "PBE",
  "state": "optimized geometry",
  "cell": [[5.519, 0.000, 0.000], [0.000, 5.519, 0.000], [0.000, 0.000, 5.527]],
  "species": ["Y", "Ru", "Li", "La", "La"],
  "fractional_positions": [[0.000, 0.000, 0.500], [0.000, 0.000, 0.000], [0.500, 0.500, 0.500], [0.000, 0.500, 0.000], [0.500, 0.000, 0.000]]
}

---

(2)
{
  "formula": "LiLa2ZnRu",
  "functional": "PBE",
  "state": "optimized geometry",
  "polymorph_energy_mev_per_atom": 0.0,
  "cell": [[-1.325, -4.230, 3.065], [-2.611, -2.203, -4.169], [4.248, -2.356, -1.415]],
  "species": ["Ru", "Zn", "Li", "La", "La"],
  "fractional_positions": [[0.000, 0.000, 0.000], [0.000, 0.000, 0.500], [0.500, 0.500, 0.500], [0.000, 0.500, 0.000], [0.500, 0.000, 0.000]]
}

---

(3)
{
  "formula": "LiLa2ZnRu",
  "functional": "PBE",
  "state": "optimized geometry",
  "polymorph_energy_mev_per_atom": 62.2,
  "cell": [[5.310, 0.000, 0.000], [0.000, 5.310, 0.000], [0.000, 0.000, 4.958]],
  "species": ["Ru", "Zn", "Li", "La", "La"],
  "fractional_positions": [[0.000, 0.000, 0.000], [0.500, 0.500, 0.500], [0.000, 0.000, 0.500], [0.000, 0.500, 0.000], [0.500, 0.000, 0.000]]
}

---

| no. | energy of formation (eV per atom) | E (eV per atom) | M_tot (μB/atom) |
| --- | --- | --- | --- |
| 1 | -0.086 | -5.587 | 0.0000 |
| 2 | -0.106 | -4.569 | 0.0000 |
| 3 | -0.044 | -4.507 | 0.0000 |